Entry 1:
## ThAlF (PBE)

Data for a relaxed ThAlF crystal.

Geometry as POSCAR:
```
ThAlF
1.0
4.056 -0.059 0.787
2.092 3.548 0.321
2.441 0.142 9.141
F Al Th
2 2 2
Direct
0.112 0.991 0.294
0.624 0.326 0.115
0.293 0.659 0.780
0.061 0.326 0.678
0.403 0.992 0.004
0.644 0.658 0.429
```

Summary:
* electronic total energy: -5.86 eV/atom
* crystal system: monoclinic


Entry 2:
## Tm2ThCo6 (PBE)

Data for a relaxed Tm2ThCo6 crystal.

Geometry as POSCAR:
```
Tm2ThCo6
1.0
3.960 0.000 0.000
0.000 5.812 -3.356
0.000 0.000 6.712
Co Tm Th
6 2 1
Direct
0.500 0.665 0.665
0.500 0.000 0.335
0.500 0.335 0.335
0.500 0.335 0.000
0.500 0.000 0.665
0.500 0.665 0.000
0.000 0.667 0.333
0.000 0.333 0.667
0.000 0.000 0.000
```

Summary:
* electronic total energy: -6.77 eV/atom
* crystal system: hexagonal


Entry 3:
## CaEuBr (PBE)

Data for a relaxed CaEuBr crystal.

Geometry as POSCAR:
```
CaEuBr
1.0
3.983 0.000 0.000
-1.991 3.449 0.000
0.000 0.000 7.600
Eu Ca Br
1 1 1
Direct
0.000 0.000 0.965
0.667 0.333 0.373
0.333 0.667 0.662
```

Summary:
* electronic total energy: -5.58 eV/atom
* crystal system: trigonal


Entry 4:
## Li6LaCd6 (PBE)

Data for a relaxed Li6LaCd6 crystal.

Geometry as POSCAR:
```
Li6LaCd6
1.0
5.336 0.000 0.000
2.668 7.079 -0.078
2.668 0.091 7.079
Cd Li La
6 6 1
Direct
0.650 0.350 0.350
0.000 0.346 0.654
0.350 0.650 0.650
0.000 0.654 0.346
0.700 0.800 0.800
0.300 0.200 0.200
0.500 0.228 0.772
0.000 0.500 0.000
0.000 0.000 0.500
0.500 0.772 0.228
0.500 0.000 0.500
0.500 0.500 0.000
0.000 0.000 0.000
```

Summary:
* electronic total energy: -1.90 eV/atom
* crystal system: orthorhombic


Entry 5:
## ZrOsBr2 (PBE)

Data for a relaxed ZrOsBr2 crystal.

Geometry as POSCAR:
```
ZrOsBr2
1.0
-6.436 -5.974 2.232
-4.944 -5.629 5.096
-7.228 -3.506 4.189
Os Br Zr
1 2 1
Direct
0.000 0.000 0.000
0.091 0.091 0.091
0.909 0.909 0.909
0.500 0.500 0.500
```

Summary:
* offset from the most stable computed form: 574 meV/atom
* crystal system: trigonal


Entry 6:
## Dy3GaPt2 (PBE)

Data for a relaxed Dy3GaPt2 crystal.

Geometry as POSCAR:
```
Dy3GaPt2
1.0
-1.797 3.822 0.541
-0.631 -1.854 11.008
10.572 4.771 1.410
Dy Pt Ga
12 8 4
Direct
0.750 0.574 0.622
0.750 0.625 0.952
0.250 0.820 0.702
0.750 0.180 0.298
0.250 0.680 0.202
0.750 0.320 0.798
0.250 0.074 0.878
0.750 0.926 0.122
0.250 0.426 0.378
0.250 0.125 0.548
0.250 0.375 0.048
0.750 0.875 0.452
0.250 0.686 0.488
0.250 0.003 0.322
0.250 0.497 0.822
0.750 0.186 0.012
0.750 0.503 0.178
0.250 0.814 0.988
0.750 0.997 0.678
0.750 0.314 0.512
0.750 0.624 0.370
0.250 0.376 0.630
0.250 0.124 0.130
0.750 0.876 0.870
```

Summary:
* electronic total energy: -5.81 eV/atom
* crystal system: orthorhombic


Entry 7:
## Y5In2Te2 (PBE)

Data for a relaxed Y5In2Te2 crystal.

Geometry as POSCAR:
```
Y5In2Te2
1.0
-7.842 1.423 1.508
-0.732 3.606 -7.212
-1.504 -8.668 0.362
Y Te In
10 4 4
Direct
0.333 0.695 0.728
0.000 0.000 0.000
0.500 0.500 0.000
0.167 0.195 0.728
0.667 0.033 0.728
0.833 0.533 0.728
0.833 0.805 0.272
0.333 0.967 0.272
0.667 0.305 0.272
0.167 0.467 0.272
0.500 0.703 0.405
0.500 0.297 0.595
0.000 0.203 0.405
0.000 0.797 0.595
0.628 0.870 0.000
0.872 0.370 0.000
0.372 0.130 0.000
0.128 0.630 0.000
```

Summary:
* electronic total energy: -5.76 eV/atom
* crystal system: orthorhombic


Entry 8:
## TmMg2Ag8 (PBE)

Data for a relaxed TmMg2Ag8 crystal.

Geometry as POSCAR:
```
TmMg2Ag8
1.0
4.296 0.000 0.000
0.000 6.763 0.289
-2.148 -2.591 6.990
Ag Mg Tm
8 2 1
Direct
0.684 0.910 0.367
0.316 0.090 0.633
0.597 0.463 0.193
0.142 0.198 0.283
0.403 0.537 0.807
0.858 0.802 0.717
0.956 0.276 0.912
0.044 0.724 0.088
0.225 0.651 0.449
0.775 0.349 0.551
0.500 0.000 0.000
```

Summary:
* electronic total energy: -2.95 eV/atom
* crystal system: monoclinic